--- P ---
This record from Alexandria via LeMat-Bulk describes an optimized crystal structure of LiBe. The functional is PBE.

Structure (POSCAR):
```
LiBe
1.0
2.277 0.000 -0.014
0.000 4.273 0.000
-0.971 0.000 2.239
Li Be
1 1
Direct
0.000 0.500 0.500
0.500 0.000 0.000
```

Space group: P2/m, No. 10

---

--- Q ---
This record from Alexandria via LeMat-Bulk describes an optimized crystal structure of LiBe. The functional is PBE.

Structure (POSCAR):
```
LiBe
1.0
4.375 0.000 0.000
0.000 13.244 0.000
0.000 0.000 2.434
Li Be
6 6
Direct
0.000 0.193 0.500
0.000 0.807 0.500
0.500 0.693 0.500
0.500 0.307 0.500
0.000 0.000 0.000
0.500 0.500 0.000
0.000 0.632 0.000
0.000 0.368 0.000
0.500 0.132 0.000
0.500 0.868 0.000
0.500 0.000 0.500
0.000 0.500 0.500
```

Space group: Cmmm, No. 65

---

Most stable pick: Q. Distance to second place: 6.4 kJ/mol of atoms.

---

--- P ---
This record from Alexandria via LeMat-Bulk describes an optimized crystal structure of Mg2Ge2Mo. The functional is PBE.

Structure (POSCAR):
```
Mg2Ge2Mo
1.0
-1.538 7.020 2.989
0.655 -2.916 7.187
2.845 0.626 -0.005
Mg Mo Ge
4 2 4
Direct
0.374 0.874 0.000
0.874 0.626 0.000
0.626 0.126 0.000
0.126 0.374 0.000
0.000 0.000 0.000
0.500 0.500 0.000
0.176 0.676 0.500
0.676 0.824 0.500
0.824 0.324 0.500
0.324 0.176 0.500
```

Space group: P4/mbm, No. 127

---

--- Q ---
This record from Alexandria via LeMat-Bulk describes an optimized crystal structure of Mg2Ge2Mo. The functional is PBE.

Structure (POSCAR):
```
Mg2Ge2Mo
1.0
-1.141 3.692 5.582
0.559 -5.590 3.812
3.819 0.630 0.364
Mg Mo Ge
4 2 4
Direct
0.169 0.669 0.500
0.669 0.831 0.500
0.831 0.331 0.500
0.331 0.169 0.500
0.000 0.000 0.000
0.500 0.500 0.000
0.360 0.860 0.000
0.860 0.640 0.000
0.640 0.140 0.000
0.140 0.360 0.000
```

Space group: P4/mbm, No. 127

---

Most stable pick: Q. Distance to second place: 41.2 kJ/mol of atoms.

---

--- P ---
This record from Alexandria via LeMat-Bulk describes an optimized crystal structure of Co2PBr. The functional is PBE.

Structure (POSCAR):
```
Co2PBr
1.0
6.582 0.045 0.021
5.045 4.228 -0.021
-5.834 -2.080 2.228
Br Co P
1 2 1
Direct
0.288 0.788 0.500
0.002 0.002 0.000
0.666 0.166 0.500
0.545 0.545 0.000
```

Space group: Imm2, No. 44

---

--- Q ---
This record from Alexandria via LeMat-Bulk describes an optimized crystal structure of Co2PBr. The functional is PBE.

Structure (POSCAR):
```
Co2PBr
1.0
-0.102 2.487 -2.218
2.022 -1.717 -2.018
-5.391 -2.047 -2.047
Br Co P
1 2 1
Direct
0.500 0.750 0.750
0.000 0.949 0.089
0.000 0.551 0.411
0.500 0.250 0.250
```

Space group: P2/m, No. 10

---

Most stable pick: P. Distance to second place: 9.8 kJ/mol of atoms.

---

--- P ---
This record from Alexandria via LeMat-Bulk describes an optimized crystal structure of B2C. The functional is PBE.

Structure (POSCAR):
```
B2C
1.0
3.570 1.442 0.256
0.108 4.669 -0.468
-0.191 -2.499 5.065
B C
8 4
Direct
0.909 0.724 0.675
0.033 0.142 0.800
0.233 0.002 0.474
0.329 0.383 0.631
0.671 0.617 0.369
0.767 0.998 0.526
0.967 0.858 0.200
0.091 0.276 0.325
0.684 0.823 0.953
0.316 0.177 0.047
0.391 0.519 0.121
0.609 0.481 0.879
```

Space group: P-1, No. 2

---

--- Q ---
This record from Alexandria via LeMat-Bulk describes an optimized crystal structure of B2C. The functional is PBE.

Structure (POSCAR):
```
B2C
1.0
-1.770 2.867 -4.306
5.016 -0.662 3.054
2.080 -2.911 -2.425
B C
8 4
Direct
0.254 0.669 0.439
0.040 0.740 0.029
0.452 0.907 0.725
0.482 0.982 0.090
0.367 0.344 0.052
0.216 0.356 0.428
0.779 0.283 0.446
0.569 0.755 0.077
0.675 0.360 0.127
0.512 0.644 0.689
0.992 0.984 0.990
0.912 0.976 0.659
```

Space group: P1, No. 1

---

Most stable pick: P. Distance to second place: 8.6 kJ/mol of atoms.